PrGaPbSe3 | OQMD | PBE-GGA | relaxed; symmetry = No. 63; final energy = -54.006 eV for the cell shown; mass density = 6.48 g/cm3
1.0
2.221 -7.101 0.000
2.221 7.101 0.000
0.000 0.000 10.639
Pr Ga Pb Se
2 2 2 6
direct
0.000 0.000 0.000
0.000 0.000 0.500
0.465 0.535 0.750
0.535 0.465 0.250
0.258 0.742 0.250
0.742 0.258 0.750
0.101 0.899 0.750
0.356 0.644 0.546
0.356 0.644 0.954
0.644 0.356 0.046
0.644 0.356 0.454
0.899 0.101 0.250